Record 1
# Li2DyScHg4, optimized geometry, DFT PBE-GGA
data_Li2DyScHg4
_cell_length_a 4.9170
_cell_length_b 4.9170
_cell_length_c 24.3247
_cell_angle_alpha 90.00
_cell_angle_beta 90.00
_cell_angle_gamma 120.00
_space_group_name_H-M_alt 'R -3 m'
_space_group_IT_number 166
_space_group_name_Hall '-R 3 2"'
loop_
_atom_site_label
_atom_site_type_symbol
_atom_site_fract_x
_atom_site_fract_y
_atom_site_fract_z
Li1 Li 0.0000 0.0000 0.2482
Dy1 Dy 0.0000 0.0000 0.0000
Sc1 Sc 0.0000 0.0000 0.5000
Hg1 Hg 0.0000 0.0000 0.1278
Hg2 Hg 0.0000 0.0000 0.3793
# D(E_F) = 6.779 states/eV/f.u.
# E_tot = -2.408 eV/atom
# Energy of formation = -0.412 eV per atom
# Crystal system = trigonal



Record 2
# Li2GeRh2, optimized geometry, DFT PBE-GGA
data_Li2GeRh2
_cell_length_a 4.4429
_cell_length_b 2.9590
_cell_length_c 6.1384
_cell_angle_alpha 90.00
_cell_angle_beta 111.06
_cell_angle_gamma 90.00
_space_group_name_H-M_alt 'P 1 2/m 1'
_space_group_IT_number 10
loop_
_space_group_symop_operation_xyz
'x,y,z'
'-x,-y,-z'
'-x,y,-z'
'x,-y,z'
loop_
_atom_site_label
_atom_site_type_symbol
_atom_site_fract_x
_atom_site_fract_y
_atom_site_fract_z
Li1 Li 0.1436 0.0000 0.2868
Ge1 Ge 0.5000 0.0000 0.0000
Rh1 Rh 0.3329 0.5000 0.6676
# D(E_F) = 2.411 states/eV/f.u.
# E_tot = -4.937 eV/atom
# Energy of formation = -0.307 eV per atom
# E above lowest polymorph = 116 meV per atom
# Crystal system = monoclinic